No. 1
Here is crystalline KAcMnBr6 at its relaxed geometry from the Alexandria database. Energies are from PBE.

Lattice parameters (Å, degrees): 7.2470 7.2470 14.4643 90.00 90.00 120.00
Element x y z (fractional)
K 0.0000 0.0000 0.0000
K 0.0000 0.0000 0.5000
Ac 0.3333 0.6667 0.2500
Ac 0.6667 0.3333 0.7500
Mn 0.6667 0.3333 0.2500
Mn 0.3333 0.6667 0.7500
Br 0.6644 0.6116 0.1430
Br 0.9472 0.3356 0.1430
Br 0.3356 0.9472 0.6430
Br 0.0528 0.6644 0.8570
Br 0.3884 0.3356 0.3570
Br 0.9472 0.6116 0.3570
Br 0.6116 0.9472 0.8570
Br 0.6644 0.0528 0.3570
Br 0.0528 0.3884 0.6430
Br 0.3884 0.0528 0.1430
Br 0.6116 0.6644 0.6430
Br 0.3356 0.3884 0.8570

Summary:
Energy relative to the elements, uncorrected, kJ/mol of atoms: -121.9
Crystal system: trigonal
SG: P-31c, No. 163
D(E_F), states/eV per cell: 18.3

No. 2
Here is crystalline TaCd2Br at its relaxed geometry from the Alexandria database. Energies are from PBE.

Lattice parameters (Å, degrees): 5.9307 5.9307 5.9307 139.73 139.73 58.27
Element x y z (fractional)
Cd 0.0000 0.0000 0.0000
Cd 0.5000 0.5000 0.0000
Br 0.7500 0.2500 0.5000
Ta 0.2500 0.7500 0.5000

Summary:
Energy above the most stable polymorph in this dataset, meV per atom: 711
Energy relative to the elements, uncorrected, kJ/mol of atoms: 69.7
Crystal system: tetragonal
SG: I4/mmm, No. 139
D(E_F), states/eV per cell: 4.5

No. 3
Here is crystalline KCrSe2 at its relaxed geometry from the Alexandria database. Energies are from PBE.

Lattice parameters (Å, degrees): 6.6677 8.8119 3.7189 89.99 89.98 81.70
Element x y z (fractional)
Cr 0.8259 0.0641 0.8648
Cr 0.1619 0.7932 0.3648
K 0.7195 0.5734 0.8646
K 0.2683 0.2840 0.3644
Se 0.2006 0.9842 0.8646
Se 0.7873 0.8731 0.3648
Se 0.7725 0.2558 0.3647
Se 0.2153 0.6015 0.8647

Summary:
Energy relative to the elements, uncorrected, kJ/mol of atoms: -73.5
Crystal system: monoclinic
SG: P2_1/m, No. 11
D(E_F), states/eV per cell: 3.4

No. 4
Here is crystalline LiIn2Au2 at its relaxed geometry from the Alexandria database. Energies are from PBE.

Lattice parameters (Å, degrees): 4.6456 4.6769 9.7770 89.97 90.00 90.00
Element x y z (fractional)
Li 0.7500 0.2489 0.6668
Li 0.2500 0.7511 0.3332
In 0.7500 0.2500 0.9953
In 0.2500 0.7508 0.6720
In 0.2500 0.7500 0.0047
In 0.7500 0.2492 0.3280
Au 0.2500 0.2512 0.4973
Au 0.7500 0.7497 0.1690
Au 0.2500 0.2503 0.8310
Au 0.7500 0.7488 0.5027

Summary:
Energy above the most stable polymorph in this dataset, meV per atom: 0
DFT formation energy, eV per formula unit: -1.78
Crystal system: monoclinic
SG: P2_1/m, No. 11
D(E_F), states/eV per cell: 2.7

No. 5
Here is crystalline InHSe at its relaxed geometry from the Alexandria database. Energies are from PBE.

Lattice parameters (Å, degrees): 4.1394 10.9123 6.7274 42.30 52.09 55.33
Element x y z (fractional)
In 0.8379 0.9332 0.1190
In 0.4074 0.7874 0.7683
H 0.4696 0.2182 0.5585
H 0.7756 0.5023 0.3288
Se 0.2039 0.1940 0.8616
Se 0.0414 0.5266 0.0258

Summary:
E, eV/atom: -3.35
Crystal system: triclinic
SG: P-1, No. 2
D(E_F), states/eV per cell: 0.1

No. 6
Here is crystalline LiIn2SnCl5 at its relaxed geometry from the Alexandria database. Energies are from PBE.

Lattice parameters (Å, degrees): 4.2434 9.3419 13.8259 90.00 90.00 103.13
Element x y z (fractional)
Li 0.5419 0.0838 0.9201
Li 0.4581 0.9162 0.4201
In 0.8705 0.7410 0.8355
In 0.0913 0.1826 0.6683
In 0.1295 0.2590 0.3355
In 0.9087 0.8174 0.1683
Sn 0.8090 0.6180 0.5457
Sn 0.1910 0.3820 0.0457
Cl 0.3326 0.6651 0.0080
Cl 0.6744 0.3488 0.9063
Cl 0.4881 0.9761 0.7644
Cl 0.2819 0.5638 0.6814
Cl 0.9879 0.9758 0.4943
Cl 0.6674 0.3349 0.5080
Cl 0.3256 0.6512 0.4063
Cl 0.5119 0.0239 0.2644
Cl 0.7181 0.4362 0.1814
Cl 0.0121 0.0242 0.9943

Summary:
Energy relative to the elements, uncorrected, kJ/mol of atoms: -105.6
Crystal system: orthorhombic
SG: Cmc2_1, No. 36
D(E_F), states/eV per cell: 0.0

No. 7
Here is crystalline PrPdAu at its relaxed geometry from the Alexandria database. Energies are from PBE.

Lattice parameters (Å, degrees): 5.2414 3.8656 7.6435 75.35 90.00 90.00
Element x y z (fractional)
Pr 0.7500 0.6313 0.7374
Pr 0.2500 0.3687 0.2626
Pd 0.5000 0.0000 0.0000
Pd 0.0000 0.0000 0.0000
Au 0.7500 0.8357 0.3287
Au 0.2500 0.1643 0.6713

Summary:
Energy above the most stable polymorph in this dataset, meV per atom: 206
DFT formation energy, eV per formula unit: -1.69
Crystal system: orthorhombic
SG: Cmcm, No. 63
D(E_F), states/eV per cell: 3.6

No. 8
Here is crystalline CsHoTl2Br6 at its relaxed geometry from the Alexandria database. Energies are from PBE.

Lattice parameters (Å, degrees): 8.3024 8.3022 8.6775 61.39 61.38 59.91
Element x y z (fractional)
Cs 0.8100 0.8102 0.5693
Ho 0.3256 0.3255 0.0233
Tl 0.5255 0.5252 0.4239
Tl 0.0104 0.0104 0.9695
Br 0.5485 0.2360 0.2326
Br 0.2357 0.9831 0.2329
Br 0.9826 0.5493 0.2322
Br 0.3853 0.6835 0.7769
Br 0.6841 0.1531 0.7776
Br 0.1541 0.3852 0.7771

Summary:
Energy relative to the elements, uncorrected, kJ/mol of atoms: -142.0
Crystal system: triclinic
SG: P1, No. 1
D(E_F), states/eV per cell: 0.0

No. 9
Here is crystalline Mg7C5 at its relaxed geometry from the Alexandria database. Energies are from PBE.

Lattice parameters (Å, degrees): 7.0661 7.0661 7.0661 126.16 126.16 79.62
Element x y z (fractional)
Mg 0.1696 0.1696 0.0000
Mg 0.0303 0.5303 0.5000
Mg 0.5303 0.0303 0.5000
Mg 0.4950 0.7894 0.7056
Mg 0.0837 0.7894 0.2944
Mg 0.7894 0.4950 0.7056
Mg 0.7894 0.0837 0.2944
C 0.9633 0.9633 0.0000
C 0.7885 0.7885 0.6525
C 0.1360 0.1360 0.3475
C 0.1360 0.7885 0.0000
C 0.7885 0.1360 0.0000

Summary:
DFT formation energy, eV per formula unit: 13.99
Crystal system: tetragonal
SG: I4mm, No. 107
D(E_F), states/eV per cell: 1.6

No. 10
Here is crystalline RbZn at its relaxed geometry from the Alexandria database. Energies are from PBE.

Lattice parameters (Å, degrees): 12.9625 12.9625 4.7164 90.00 90.00 90.00
Element x y z (fractional)
Rb 0.6718 0.6718 0.5000
Rb 0.6718 0.3282 0.5000
Rb 0.3282 0.6718 0.5000
Rb 0.3282 0.3282 0.5000
Rb 0.2786 0.0000 0.0000
Rb 0.7214 0.0000 0.0000
Rb 0.0000 0.7214 0.0000
Rb 0.0000 0.2786 0.0000
Zn 0.9015 0.5000 0.5000
Zn 0.0985 0.5000 0.5000
Zn 0.5000 0.0985 0.5000
Zn 0.5000 0.9015 0.5000
Zn 0.8358 0.5000 0.0000
Zn 0.1642 0.5000 0.0000
Zn 0.5000 0.1642 0.0000
Zn 0.5000 0.8358 0.0000

Summary:
DFT formation energy, eV per formula unit: 0.20
Crystal system: tetragonal
SG: P4/mmm, No. 123
D(E_F), states/eV per cell: 10.8

No. 11
Here is crystalline KSr2Te at its relaxed geometry from the Alexandria database. Energies are from PBE.

Lattice parameters (Å, degrees): 7.5151 7.5151 7.5151 140.23 140.23 57.51
Element x y z (fractional)
K 0.7500 0.2500 0.5000
Sr 0.0000 0.0000 0.0000
Sr 0.2500 0.7500 0.5000
Te 0.5000 0.5000 0.0000

Summary:
Energy relative to the elements, uncorrected, kJ/mol of atoms: -44.5
Crystal system: tetragonal
SG: I-4m2, No. 119
D(E_F), states/eV per cell: 3.0

No. 12
Here is crystalline NaLiGe2 at its relaxed geometry from the Alexandria database. Energies are from PBE.

Lattice parameters (Å, degrees): 4.5233 4.0440 4.0440 90.00 90.00 90.00
Element x y z (fractional)
Na 0.5000 0.0000 0.0000
Ge 0.0000 0.0000 0.5000
Ge 0.0000 0.5000 0.0000
Li 0.5000 0.5000 0.5000

Summary:
Energy above the most stable polymorph in this dataset, meV per atom: 102
DFT formation energy, eV per formula unit: -0.31
Crystal system: tetragonal
SG: P4/mmm, No. 123
D(E_F), states/eV per cell: 2.3

No. 13
Here is crystalline BaInCuO3 at its relaxed geometry from the Alexandria database. Energies are from PBE.

Lattice parameters (Å, degrees): 6.0409 6.0409 6.4869 70.27 70.27 69.20
Element x y z (fractional)
Ba 0.6958 0.6958 0.8674
Ba 0.3042 0.3042 0.1326
In 0.0899 0.0899 0.7199
In 0.9101 0.9101 0.2801
Cu 0.2871 0.7129 0.5000
Cu 0.7129 0.2871 0.5000
O 0.3108 0.3108 0.5540
O 0.1751 0.7075 0.8193
O 0.7075 0.1751 0.8193
O 0.2925 0.8249 0.1807
O 0.8249 0.2925 0.1807
O 0.6892 0.6892 0.4460

Summary:
Energy relative to the elements, uncorrected, kJ/mol of atoms: -132.5
Crystal system: monoclinic
SG: C2/m, No. 12
D(E_F), states/eV per cell: 2.2

No. 14
Here is crystalline KBP2O at its relaxed geometry from the Alexandria database. Energies are from PBE.

Lattice parameters (Å, degrees): 6.1181 6.1181 4.6193 90.00 90.00 90.00
Element x y z (fractional)
P 0.0000 0.5000 0.0000
P 0.5000 0.0000 0.0000
K 0.0000 0.0000 0.0000
B 0.5000 0.5000 0.5000
O 0.0000 0.0000 0.5000

Summary:
Energy above the most stable polymorph in this dataset, meV per atom: 1862
Energy relative to the elements, uncorrected, kJ/mol of atoms: 230.9
Crystal system: tetragonal
SG: P4/mmm, No. 123
D(E_F), states/eV per cell: 3.8

No. 15
Here is crystalline Cs2HgIF6 at its relaxed geometry from the Alexandria database. Energies are from PBE.

Lattice parameters (Å, degrees): 6.6229 6.6229 7.2420 62.79 62.79 90.00
Element x y z (fractional)
Cs 0.7500 0.2500 0.5000
Cs 0.2500 0.7500 0.5000
I 0.5000 0.5000 0.0000
Hg 0.0000 0.0000 0.0000
F 0.2065 0.2065 0.5869
F 0.7935 0.7935 0.4131
F 0.2721 0.2721 0.0000
F 0.7279 0.7279 0.0000
F 0.7279 0.2721 0.0000
F 0.2721 0.7279 0.0000

Summary:
Energy relative to the elements, uncorrected, kJ/mol of atoms: -175.0
Crystal system: tetragonal
SG: I4/mmm, No. 139
D(E_F), states/eV per cell: 5.5

No. 16
Here is crystalline Sm4YHo15 at its relaxed geometry from the Alexandria database. Energies are from PBE.

Lattice parameters (Å, degrees): 5.0209 5.0209 25.0548 90.00 90.00 90.00
Element x y z (fractional)
Sm 0.0000 0.0000 0.1998
Sm 0.0000 0.0000 0.3999
Sm 0.0000 0.0000 0.6001
Sm 0.0000 0.0000 0.8002
Y 0.0000 0.0000 0.0000
Ho 0.5000 0.5000 0.0000
Ho 0.5000 0.5000 0.1995
Ho 0.5000 0.5000 0.4000
Ho 0.5000 0.5000 0.6000
Ho 0.5000 0.5000 0.8005
Ho 0.5000 0.0000 0.0996
Ho 0.5000 0.0000 0.2998
Ho 0.5000 0.0000 0.5000
Ho 0.5000 0.0000 0.7002
Ho 0.5000 0.0000 0.9004
Ho 0.0000 0.5000 0.0996
Ho 0.0000 0.5000 0.2998
Ho 0.0000 0.5000 0.5000
Ho 0.0000 0.5000 0.7002
Ho 0.0000 0.5000 0.9004

Summary:
DFT formation energy, eV per formula unit: 0.40
Crystal system: tetragonal
SG: P4/mmm, No. 123
D(E_F), states/eV per cell: 26.3

No. 17
Here is crystalline Pr2ZnPt2 at its relaxed geometry from the Alexandria database. Energies are from PBE.

Lattice parameters (Å, degrees): 6.0238 7.0673 7.4427 118.35 113.87 90.00
Element x y z (fractional)
Pr 0.8565 0.6888 0.7129
Pr 0.1435 0.3112 0.2871
Pr 0.6435 0.9759 0.2871
Pr 0.3565 0.0241 0.7129
Zn 0.7500 0.5000 0.0000
Zn 0.2500 0.5000 0.0000
Pt 0.3892 0.6350 0.7784
Pt 0.6108 0.3650 0.2216
Pt 0.1108 0.8566 0.2216
Pt 0.8892 0.1434 0.7784

Summary:
DFT formation energy, eV per formula unit: -4.38
Crystal system: orthorhombic
SG: Ibam, No. 72
D(E_F), states/eV per cell: 4.8

No. 18
Here is crystalline SiAg2Pt at its relaxed geometry from the Alexandria database. Energies are from PBE.

Lattice parameters (Å, degrees): 3.5631 3.5631 5.2960 90.00 90.00 90.00
Element x y z (fractional)
Ag 0.0000 0.0000 0.9977
Ag 0.0000 0.0000 0.5023
Pt 0.5000 0.5000 0.2500
Si 0.5000 0.5000 0.7500

Summary:
Energy relative to the elements, uncorrected, kJ/mol of atoms: 12.5
Crystal system: tetragonal
SG: P4/mmm, No. 123
D(E_F), states/eV per cell: 1.1

No. 19
Here is crystalline KCd2Pb3 at its relaxed geometry from the Alexandria database. Energies are from PBE.

Lattice parameters (Å, degrees): 5.7511 8.4870 8.4870 92.89 90.00 90.00
Element x y z (fractional)
K 0.2500 0.3269 0.3269
K 0.7500 0.6731 0.6731
Cd 0.5000 0.7607 0.2393
Cd 0.0000 0.7607 0.2393
Cd 0.0000 0.2393 0.7607
Cd 0.5000 0.2393 0.7607
Pb 0.7500 0.4527 0.0799
Pb 0.7500 0.0799 0.4527
Pb 0.2500 0.5473 0.9201
Pb 0.7500 0.0632 0.0632
Pb 0.2500 0.9368 0.9368
Pb 0.2500 0.9201 0.5473

Summary:
Energy above the most stable polymorph in this dataset, meV per atom: 11
DFT formation energy, eV per formula unit: -0.25
Crystal system: orthorhombic
SG: Cmcm, No. 63
D(E_F), states/eV per cell: 4.4

No. 20
Here is crystalline Li4LaZr at its relaxed geometry from the Alexandria database. Energies are from PBE.

Lattice parameters (Å, degrees): 5.7111 5.7111 5.7111 60.00 60.00 60.00
Element x y z (fractional)
Li 0.8672 0.3776 0.3776
Li 0.3776 0.3776 0.8672
Li 0.3776 0.8672 0.3776
Li 0.3776 0.3776 0.3776
La 0.0000 0.0000 0.0000
Zr 0.7500 0.7500 0.7500

Summary:
DFT formation energy, eV per formula unit: 1.55
Crystal system: cubic
SG: F-43m, No. 216
D(E_F), states/eV per cell: 6.8